(1)
Here is a geometry-optimized NdHo3Cd2 structure from Alexandria. Energies are from GGA-PBE.

- volume (Å³ per cell) = 170
- energy of formation (meV per atom) = -202
- uncorrected energy (eV/atom) = -3.59
- total magnetic moment (μB per formula unit) = 0.0
- D(E_F) (states/eV/cell) = 6.862

Cell lengths 3.6727, 3.6727, 12.6359 Å; angles 90.00, 90.00, 90.00 degrees
Element x y z (fractional)
Nd: 0.0000 0.0000 0.0000
Ho: 0.5000 0.5000 0.1984
Ho: 0.5000 0.5000 0.5000
Ho: 0.5000 0.5000 0.8016
Cd: 0.0000 0.0000 0.3497
Cd: 0.0000 0.0000 0.6503

---

(2)
Here is a geometry-optimized Nd3HoCd3 structure from Alexandria. Energies are from GGA-PBE.

- volume (Å³ per cell) = 426
- energy of formation (meV per atom) = -103
- uncorrected energy (eV/atom) = -3.19
- total magnetic moment (μB per formula unit) = 0.0
- D(E_F) (states/eV/cell) = 14.985

Cell lengths 7.1984, 7.1984, 8.5358 Å; angles 94.70, 94.70, 103.63 degrees
Element x y z (fractional)
Nd: 0.1739 0.8261 0.0000
Nd: 0.2451 0.7549 0.5000
Nd: 0.3608 0.3608 0.1281
Nd: 0.6392 0.6392 0.8719
Nd: 0.7549 0.2451 0.5000
Nd: 0.8261 0.1739 0.0000
Ho: 0.2991 0.2991 0.5290
Ho: 0.7009 0.7009 0.4710
Cd: 0.0075 0.0075 0.7050
Cd: 0.0979 0.4520 0.7869
Cd: 0.4520 0.0979 0.7869
Cd: 0.5480 0.9021 0.2131
Cd: 0.9021 0.5480 0.2131
Cd: 0.9925 0.9925 0.2950